*one*
TlNiRu2: PBEsol geometry, meta-GGA SCAN.

The structure in POSCAR format:
```
TlNiRu2
1.0
-1.7625 -0.2057 2.2281
-2.1523 -1.7405 -3.6838
2.3226 -3.9192 1.4753
Ni Ru Tl
1 2 1
Direct
0.7445 0.4890 0.2365 Ni
0.0003 0.0006 0.9817 Ru
0.2573 0.5147 0.8031 Ru
0.4979 0.9957 0.4786 Tl
```


*two*
TlNiRu2: PBEsol geometry, meta-GGA SCAN.

The structure in POSCAR format:
```
TlNiRu2
1.0
2.9789 0.0000 0.0000
0.0000 2.9789 0.0000
0.0000 0.0000 6.5931
Ni Ru Tl
1 2 1
Direct
0.5000 0.5000 0.5000 Ni
0.0000 0.0000 0.7018 Ru
0.0000 0.0000 0.2982 Ru
0.5000 0.5000 0.0000 Tl
```


What should be chosen as the most stable of them? Choose *one*.


*one*
YNiRu2: PBEsol geometry, meta-GGA SCAN.

The structure in POSCAR format:
```
YNiRu2
1.0
-2.6953 0.1508 -0.6777
-1.1978 -2.0768 -1.4139
-3.4751 -4.6712 7.0660
Ni Ru Y
1 2 1
Direct
0.2576 0.2576 0.2271 Ni
0.9990 0.9990 0.0031 Ru
0.7402 0.7402 0.7794 Ru
0.5032 0.5032 0.4904 Y
```


*two*
YNiRu2: PBEsol geometry, meta-GGA SCAN.

The structure in POSCAR format:
```
YNiRu2
1.0
-1.9506 -2.3137 -0.5674
-0.4419 -0.3692 3.0246
-5.0207 4.2843 -0.2105
Ni Ru Y
1 2 1
Direct
0.5000 0.5000 0.8005 Ni
0.0000 0.0000 0.9884 Ru
0.5000 0.5000 0.2000 Ru
0.0000 0.0000 0.5112 Y
```


*three*
YNiRu2: PBEsol geometry, meta-GGA SCAN.

The structure in POSCAR format:
```
YNiRu2
1.0
3.1328 0.0000 0.0000
0.0000 3.1324 0.0000
0.0000 0.0000 6.3169
Ni Ru Y
1 2 1
Direct
0.5000 0.5000 0.5000 Ni
0.0000 0.0000 0.6980 Ru
0.0000 0.0000 0.3020 Ru
0.5000 0.5000 0.0000 Y
```


What should be chosen as the most stable of them? Choose *two*.


*one*
Zr2NiRu: PBEsol geometry, meta-GGA SCAN.

The structure in POSCAR format:
```
Zr2NiRu
1.0
3.8323 0.0000 0.0000
0.0000 3.8323 0.0000
-1.9162 -1.9162 4.4671
Ni Ru Zr
1 1 2
Direct
0.5000 0.5000 0.0000 Ni
0.2500 0.7500 0.5000 Ru
0.0000 0.0000 0.0000 Zr
0.7500 0.2500 0.5000 Zr
```


*two*
Zr2NiRu: PBEsol geometry, meta-GGA SCAN.

The structure in POSCAR format:
```
Zr2NiRu
1.0
3.2875 0.0000 0.0000
1.6438 2.8471 0.0000
1.6438 0.9490 7.3857
Ni Ru Zr
1 1 2
Direct
0.5000 0.5000 0.5000 Ni
0.0000 0.0000 0.0000 Ru
0.2473 0.2473 0.2582 Zr
0.7527 0.7527 0.7418 Zr
```


*three*
Zr2NiRu: PBEsol geometry, meta-GGA SCAN.

The structure in POSCAR format:
```
Zr2NiRu
1.0
4.5324 -0.0152 -0.0217
-2.2449 3.9374 0.0217
-2.2449 -1.3189 3.7100
Ru Zr Ni
1 2 1
Direct
0.0000 0.5000 0.5000 Ru
0.5000 0.7500 0.2500 Zr
0.5000 0.2500 0.7500 Zr
0.0000 0.0000 0.0000 Ni
```


*four*
Zr2NiRu: PBEsol geometry, meta-GGA SCAN.

The structure in POSCAR format:
```
Zr2NiRu
1.0
-1.6196 -2.0110 1.8888
-1.0166 -1.6011 -2.5764
5.1373 -3.8149 0.3435
Ru Zr Ni
1 2 1
Direct
0.5000 0.5000 0.5000 Ru
0.0000 0.0000 0.7538 Zr
0.0000 0.0000 0.2462 Zr
0.5000 0.5000 0.0000 Ni
```


What should be chosen as the most stable of them? Choose *four*.


*one*
TcNiSb: PBEsol geometry, meta-GGA SCAN.

The structure in POSCAR format:
```
TcNiSb
1.0
4.1825 0.0000 0.0000
2.0913 3.6222 0.0000
2.0913 1.2074 3.4150
Ni Sb Tc
1 1 1
Direct
0.5000 0.5000 0.5000 Ni
0.2500 0.2500 0.2500 Sb
0.0000 0.0000 0.0000 Tc
```


*two*
TcNiSb: PBEsol geometry, meta-GGA SCAN.

The structure in POSCAR format:
```
TcNiSb
1.0
3.0056 0.0000 0.0000
-1.5028 2.6029 0.0000
0.0000 0.0000 5.9514
Ni Sb Tc
1 1 1
Direct
0.0000 0.0000 0.0056 Ni
0.3333 0.6667 0.6723 Sb
0.6667 0.3333 0.3220 Tc
```


*three*
TcNiSb: PBEsol geometry, meta-GGA SCAN.

The structure in POSCAR format:
```
TcNiSb
1.0
-1.4394 1.9576 2.1195
-2.5304 -1.9943 0.1275
3.8273 -2.1134 2.0968
Ni Sb Tc
1 1 1
Direct
0.9980 0.9980 0.9960 Ni
0.3385 0.3385 0.6769 Sb
0.6636 0.6636 0.3271 Tc
```


What should be chosen as the most stable of them? Choose *three*.


*one*
TcNi2Sb: PBEsol geometry, meta-GGA SCAN.

The structure in POSCAR format:
```
TcNi2Sb
1.0
-1.0077 -2.9784 -0.7433
0.9113 -1.0373 2.9210
-4.8319 1.1561 1.9181
Ni Sb Tc
2 1 1
Direct
0.0000 0.0000 0.7321 Ni
0.0000 0.0000 0.2679 Ni
0.5000 0.5000 0.0000 Sb
0.5000 0.5000 0.5000 Tc
```


*two*
TcNi2Sb: PBEsol geometry, meta-GGA SCAN.

The structure in POSCAR format:
```
TcNi2Sb
1.0
-1.2619 -2.1596 3.4198
2.1595 -3.4200 1.2618
2.2953 0.1378 3.5587
Ni Sb Tc
2 1 1
Direct
0.2500 0.2500 0.2500 Ni
0.7500 0.7500 0.7500 Ni
0.0000 0.0000 0.0000 Sb
0.5000 0.5000 0.5000 Tc
```


What should be chosen as the most stable of them? Choose *one*.


*one*
Y2NiSb: PBEsol geometry, meta-GGA SCAN.

The structure in POSCAR format:
```
Y2NiSb
1.0
-2.1345 -0.6397 -3.5216
-1.9314 -3.2463 1.7603
-1.6649 5.0522 2.5572
Ni Sb Y
1 1 2
Direct
0.5000 0.5000 0.0000 Ni
0.2500 0.7500 0.5000 Sb
0.0000 0.0000 0.0000 Y
0.7500 0.2500 0.5000 Y
```


*two*
Y2NiSb: PBEsol geometry, meta-GGA SCAN.

The structure in POSCAR format:
```
Y2NiSb
1.0
-0.1416 4.7399 0.6116
-4.4720 -2.4857 -0.4607
-2.6358 -0.5878 3.9456
Ni Sb Y
1 1 2
Direct
0.5000 0.0000 0.5000 Ni
0.0000 0.0000 0.0000 Sb
0.2500 0.5000 0.2500 Y
0.7500 0.5000 0.7500 Y
```


What should be chosen as the most stable of them? Choose *two*.


*one*
ScNiSe: PBEsol geometry, meta-GGA SCAN.

The structure in POSCAR format:
```
ScNiSe
1.0
-2.5947 -2.3481 0.0210
2.0519 -2.2520 1.7219
-1.0135 3.7506 2.5568
Ni Sc Se
1 1 1
Direct
0.9882 0.9882 0.9764 Ni
0.3327 0.3327 0.6653 Sc
0.6792 0.6792 0.3583 Se
```


*two*
ScNiSe: PBEsol geometry, meta-GGA SCAN.

The structure in POSCAR format:
```
ScNiSe
1.0
-1.1459 0.2331 4.1141
-3.6564 -1.7936 1.3065
0.0930 -3.5061 2.4478
Ni Sc Se
1 1 1
Direct
0.5000 0.5000 0.5000 Ni
0.7500 0.7500 0.7500 Sc
0.0000 0.0000 0.0000 Se
```


What should be chosen as the most stable of them? Choose *one*.


*one*
SrScNi2: PBEsol geometry, meta-GGA SCAN.

The structure in POSCAR format:
```
SrScNi2
1.0
3.0415 0.0000 0.0000
0.0000 4.7085 0.0645
0.0000 -0.0682 5.3286
Ni Sc Sr
2 1 1
Direct
0.0000 0.0000 0.0000 Ni
0.5000 0.5000 0.5000 Ni
0.5000 0.5000 0.0000 Sc
0.0000 0.0000 0.5000 Sr
```


*two*
SrScNi2: PBEsol geometry, meta-GGA SCAN.

The structure in POSCAR format:
```
SrScNi2
1.0
4.5696 0.0000 0.0000
2.2848 3.9574 0.0000
2.2848 1.3191 3.7311
Ni Sc Sr
2 1 1
Direct
0.0000 0.0000 0.0000 Ni
0.2500 0.2500 0.2500 Ni
0.5000 0.5000 0.5000 Sc
0.7500 0.7500 0.7500 Sr
```


What should be chosen as the most stable of them? Choose *one*.